1.
The following is a PBE calculation of a relaxed structure of Mg6AlCdO8, from Alexandria.

Structure (POSCAR):
```
Mg6AlCdO8
1.0
4.405 0.000 0.000
0.000 4.405 0.000
0.000 0.000 8.694
Mg Al Cd O
6 1 1 8
Cartesian
0.000 0.000 0.000
0.000 0.000 4.347
0.000 2.203 2.151
0.000 2.203 6.543
2.203 0.000 2.151
2.203 0.000 6.543
2.203 2.203 0.000
2.203 2.203 4.347
0.000 0.000 2.157
0.000 0.000 6.537
0.000 2.203 0.000
0.000 2.203 4.347
2.203 0.000 0.000
2.203 0.000 4.347
2.203 2.203 1.821
2.203 2.203 6.873
```

Values from the calculation:
As for the formation energy from raw total energies: -2318.0 meV/atom. The density of states at the Fermi level comes out at 1.1 states/eV/cell. The density comes out at 4.07 g/cm³.

2.
The following is a PBE calculation of a relaxed structure of CeB2H8Pd, from Alexandria.

Structure (POSCAR):
```
CeB2H8Pd
1.0
4.504 0.000 0.000
-2.252 3.901 0.000
0.000 0.000 6.463
Ce B H Pd
1 2 8 1
Cartesian
0.000 0.000 0.000
0.000 2.601 1.427
2.252 1.300 5.037
0.000 1.438 1.935
-1.007 3.182 1.935
0.000 2.601 0.169
1.245 0.719 4.528
1.007 3.182 1.935
2.252 1.300 6.294
3.259 0.719 4.528
2.252 2.463 4.528
0.000 0.000 3.232
```

Values from the calculation:
The density of states at the Fermi level comes out at 5.6 states/eV/cell. The density comes out at 4.04 g/cm³.

3.
The following is a PBE calculation of a relaxed structure of Tb4HoSc2, from Alexandria.

Structure (POSCAR):
```
Tb4HoSc2
1.0
5.452 0.000 0.000
0.000 6.785 0.000
-2.731 0.000 11.310
Tb Ho Sc
8 2 4
Cartesian
-0.011 1.696 1.687
-0.010 5.089 4.886
-0.004 3.396 8.023
-0.004 6.781 8.023
2.725 0.004 3.287
2.725 3.388 3.287
2.731 1.696 6.424
2.733 5.089 9.623
0.013 5.089 1.640
2.708 1.696 9.670
0.006 1.696 4.824
2.711 1.696 0.029
0.010 5.089 11.281
2.716 5.089 6.487
```

Values from the calculation:
The density of states at the Fermi level comes out at 24.8 states/eV/cell. The density comes out at 7.07 g/cm³.

4.
The following is a PBE calculation of a relaxed structure of AcErAl, from Alexandria.

Structure (POSCAR):
```
AcErAl
1.0
-1.842 1.842 6.801
1.842 -1.842 6.801
1.842 1.842 -6.801
Ac Er Al
1 1 1
Cartesian
0.000 0.000 0.000
0.000 0.000 3.936
0.000 0.000 9.049
```

Values from the calculation:
The density of states at the Fermi level comes out at 1.7 states/eV/cell. The density comes out at 7.58 g/cm³.

5.
The following is a PBE calculation of a relaxed structure of ReNiMo2, from Alexandria.

Structure (POSCAR):
```
ReNiMo2
1.0
2.781 0.000 0.000
0.000 3.839 0.000
0.000 0.000 5.459
Re Ni Mo
1 1 2
Cartesian
0.000 0.000 0.000
0.000 0.000 2.730
1.390 1.920 1.387
1.390 1.920 4.072
```

Values from the calculation:
The density of states at the Fermi level comes out at 4.3 states/eV/cell. The density comes out at 12.44 g/cm³.

6.
The following is a PBE calculation of a relaxed structure of CdP2H4O8, from Alexandria.

Structure (POSCAR):
```
CdP2H4O8
1.0
7.597 4.386 5.469
-7.597 4.386 5.469
0.000 -8.772 5.469
Cd P H O
6 12 24 48
Cartesian
-1.537 -4.204 6.584
-4.409 -0.771 9.822
-2.873 3.433 6.584
2.873 -3.433 9.822
4.409 0.771 6.584
1.537 4.204 9.822
-1.982 -2.131 3.863
-2.838 0.649 4.443
0.857 -2.782 4.443
-0.854 2.782 3.863
2.836 -0.651 3.863
1.981 2.133 4.443
-1.981 -2.133 11.963
-2.836 0.651 12.543
0.854 -2.782 12.543
-0.857 2.782 11.963
2.838 -0.649 11.963
1.982 2.131 12.543
-5.925 2.615 5.500
-6.171 1.664 6.714
-4.526 -4.512 9.692
0.697 -6.438 5.500
-5.227 -3.823 10.906
-3.139 0.176 7.302
1.644 -6.176 6.714
-1.765 -1.536 8.024
-1.722 -2.630 9.104
-2.213 0.760 8.382
1.417 -2.807 7.302
0.448 -2.296 8.382
-0.448 2.296 8.024
-1.417 2.807 9.104
2.213 -0.760 8.024
1.722 2.630 7.302
1.765 1.536 8.382
-1.644 6.176 9.692
3.139 -0.176 9.104
5.227 3.823 5.500
-0.697 6.438 10.906
4.526 4.512 6.714
6.171 -1.664 9.692
5.925 -2.615 10.906
-1.136 -6.216 5.146
-2.447 -3.245 4.754
-3.565 -4.848 7.387
-4.959 -2.433 8.413
-0.392 -2.232 3.579
-2.066 -0.749 4.701
-4.816 4.092 5.146
-1.737 1.455 3.579
-5.981 0.664 9.018
-3.024 1.261 5.805
-5.952 -2.124 11.260
-0.372 -5.511 7.993
0.420 -3.250 5.805
-4.586 3.078 7.993
-2.756 -0.056 8.187
-1.330 -2.414 8.219
-1.587 3.742 4.754
1.681 -1.415 4.701
2.129 0.777 3.579
0.385 2.164 4.701
-2.604 -1.988 10.601
-4.034 0.496 11.652
-1.426 2.359 8.219
2.416 -5.512 9.018
-2.416 5.512 7.388
1.426 -2.359 8.187
4.034 -0.496 4.754
2.604 1.988 5.805
-0.385 -2.164 11.705
-2.129 -0.777 12.827
-1.681 1.415 11.705
1.587 -3.742 11.652
1.330 2.414 8.187
2.756 0.056 8.219
4.586 -3.078 8.413
-0.420 3.249 10.601
0.372 5.511 8.413
5.952 2.124 5.146
3.024 -1.261 10.601
5.981 -0.664 7.387
1.737 -1.455 12.827
4.816 -4.092 11.260
2.066 0.749 11.705
0.392 2.232 12.827
4.959 2.433 7.993
3.565 4.848 9.018
2.447 3.245 11.652
1.136 6.216 11.260
```

Values from the calculation:
The density of states at the Fermi level comes out at 0.0 states/eV/cell. The density comes out at 2.79 g/cm³.

7.
The following is a PBE calculation of a relaxed structure of Na2Zr2PaS6, from Alexandria.

Structure (POSCAR):
```
Na2Zr2PaS6
1.0
3.232 -5.616 0.000
3.232 5.616 0.000
-2.166 0.000 6.946
Na Zr Pa S
2 2 1 6
Cartesian
3.232 3.751 0.000
3.232 -3.751 0.000
2.149 1.872 3.473
2.149 -1.872 3.473
-1.083 0.000 3.473
0.007 1.901 5.022
1.112 0.000 1.927
0.007 -1.901 5.022
4.291 1.901 1.924
3.185 0.000 5.018
4.291 -1.901 1.924
```

Values from the calculation:
As for the formation energy from raw total energies: -1527.2 meV/atom. The density of states at the Fermi level comes out at 9.5 states/eV/cell. The density comes out at 4.29 g/cm³.

8.
The following is a PBE calculation of a relaxed structure of LaPr2NdEr2, from Alexandria.

Structure (POSCAR):
```
LaPr2NdEr2
1.0
7.129 0.000 0.000
0.000 10.006 0.000
0.000 0.000 5.782
La Pr Nd Er
2 4 2 4
Cartesian
0.000 0.000 0.000
3.564 5.003 2.891
1.771 3.333 0.000
1.793 8.336 2.891
5.336 1.670 2.891
5.358 6.673 0.000
0.000 5.003 2.891
3.564 0.000 0.000
1.781 1.667 2.891
1.784 6.670 0.000
5.345 3.336 0.000
5.348 8.339 2.891
```

Values from the calculation:
The density of states at the Fermi level comes out at 19.5 states/eV/cell. The density comes out at 7.24 g/cm³.

9.
The following is a PBE calculation of a relaxed structure of Ba2Zn5Cu4, from Alexandria.

Structure (POSCAR):
```
Ba2Zn5Cu4
1.0
6.548 -2.780 0.000
6.548 2.780 0.000
-4.917 0.000 6.391
Ba Zn Cu
2 5 4
Cartesian
1.501 0.000 1.893
6.678 0.000 4.498
4.729 1.397 1.502
3.451 1.397 4.889
6.548 0.000 0.000
4.729 -1.397 1.502
3.451 -1.397 4.889
-1.319 0.000 3.559
-0.995 0.000 5.977
9.174 0.000 0.413
9.498 0.000 2.831
```

Values from the calculation:
The density of states at the Fermi level comes out at 5.4 states/eV/cell. The density comes out at 6.11 g/cm³.

10.
The following is a PBE calculation of a relaxed structure of ErTm4Al4, from Alexandria.

Structure (POSCAR):
```
ErTm4Al4
1.0
8.828 0.000 0.000
0.000 8.828 0.000
0.000 0.000 5.621
Er Tm Al
2 8 8
Cartesian
2.207 2.207 1.405
6.621 6.621 4.215
0.778 7.276 3.619
1.551 5.192 0.809
2.863 8.050 0.809
3.636 5.965 3.619
5.192 2.863 2.002
5.965 0.778 4.812
7.276 3.636 4.812
8.050 1.551 2.002
0.482 1.355 4.733
1.355 3.932 3.698
3.059 0.482 3.698
3.932 3.059 4.733
4.896 5.768 0.888
5.768 8.345 1.923
7.473 4.896 1.923
8.345 7.473 0.888
```

Values from the calculation:
The density of states at the Fermi level comes out at 13.6 states/eV/cell. The density comes out at 7.21 g/cm³.

11.
The following is a PBE calculation of a relaxed structure of TlHRhAu2, from Alexandria.

Structure (POSCAR):
```
TlHRhAu2
1.0
4.630 0.000 0.000
0.000 4.630 0.000
0.000 0.000 3.611
Tl H Rh Au
1 1 1 2
Cartesian
0.000 0.000 0.000
2.315 2.315 1.806
2.315 2.315 0.000
0.000 2.315 1.806
2.315 0.000 1.806
```

Values from the calculation:
The density of states at the Fermi level comes out at 1.6 states/eV/cell. The density comes out at 15.07 g/cm³.

12.
The following is a PBE calculation of a relaxed structure of LaTcSe2, from Alexandria.

Structure (POSCAR):
```
LaTcSe2
1.0
-2.029 2.837 3.784
2.029 -2.837 3.784
2.029 2.837 -3.784
La Tc Se
1 1 2
Cartesian
0.000 0.000 0.000
0.000 0.000 3.784
2.029 0.000 2.283
0.000 2.837 1.501
```

Values from the calculation:
As for the formation energy from raw total energies: -822.9 meV/atom. The density of states at the Fermi level comes out at 3.1 states/eV/cell. The density comes out at 7.52 g/cm³.

13.
The following is a PBE calculation of a relaxed structure of Pu2ZnMo, from Alexandria.

Structure (POSCAR):
```
Pu2ZnMo
1.0
4.301 0.000 0.000
0.000 4.301 0.000
0.000 0.000 4.287
Pu Zn Mo
2 1 1
Cartesian
0.000 2.150 0.000
2.150 0.000 0.000
0.000 0.000 2.144
2.150 2.150 2.144
```

Values from the calculation:
The density of states at the Fermi level comes out at 7.1 states/eV/cell. The density comes out at 13.60 g/cm³.

| no. | total DFT energy (no corrections) (eV/atom) |
| --- | --- |
| 1 | -5.686 |
| 2 | -4.399 |
| 3 | -4.962 |
| 4 | -4.289 |
| 5 | -9.843 |
| 6 | -5.932 |
| 7 | -6.436 |
| 8 | -4.665 |
| 9 | -2.505 |
| 10 | -4.312 |
| 11 | -3.791 |
| 12 | -6.388 |
| 13 | -10.004 |